The following is a DFT calculation (PBE) of an optimized crystal structure of Pa2GaCuN5.

Calculated values
formation energy (no corrections): -15.8 kcal/mol of atoms
DOS(E_F): 0.425 states/eV per atom
uncorrected energy: -8.21 eV/atom
density: 10.01 g/cm3

```
data_Pa2GaCuN5
_chemical_formula_sum 'Pa8 Ga4 Cu4 N20'
_symmetry_space_group_name_H-M 'C m c 21'
_symmetry_Int_Tables_number 36
_cell_length_a 3.4357
_cell_length_b 12.6937
_cell_length_c 10.1191
_cell_angle_alpha 90.00
_cell_angle_beta 90.00
_cell_angle_gamma 90.00
loop_
_symmetry_equiv_pos_as_xyz
'x,y,z'
'-x,-y,z+1/2'
'-x,y,z'
'x,-y,z+1/2'
'x+1/2,y+1/2,z'
'-x+1/2,-y+1/2,z+1/2'
'-x+1/2,y+1/2,z'
'x+1/2,-y+1/2,z+1/2'
loop_
_atom_site_label
_atom_site_type_symbol
_atom_site_fract_x
_atom_site_fract_y
_atom_site_fract_z
_atom_site_occupancy
Pa1 Pa 0.0000 0.0969 0.0000 1
Pa2 Pa 0.0000 0.1484 0.6199 1
Ga1 Ga 0.0000 0.2026 0.3189 1
Cu1 Cu 0.0000 0.4746 0.7871 1
N1 N 0.0000 0.0612 0.4045 1
N2 N 0.0000 0.2735 0.0173 1
N3 N 0.0000 0.3186 0.7085 1
N4 N 0.0000 0.3632 0.3410 1
N5 N 0.0000 0.4852 0.1018 1
```

***

The following is a DFT calculation (PBE) of an optimized crystal structure of PaGaCuN.

Calculated values
formation energy (no corrections): -20.1 kcal/mol of atoms
DOS(E_F): 0.507 states/eV per atom
uncorrected energy: -7.11 eV/atom
density: 9.77 g/cm3

```
data_PaGaCuN
_chemical_formula_sum 'Pa2 Ga2 Cu2 N2'
_symmetry_space_group_name_H-M 'P 4/n m m'
_symmetry_Int_Tables_number 129
_cell_length_a 4.0162
_cell_length_b 4.0162
_cell_length_c 7.9765
_cell_angle_alpha 90.00
_cell_angle_beta 90.00
_cell_angle_gamma 90.00
loop_
_symmetry_equiv_pos_as_xyz
'x,y,z'
'-x,-y,-z'
'-y+1/2,x,z'
'y+1/2,-x,-z'
'-x+1/2,-y+1/2,z'
'x+1/2,y+1/2,-z'
'y,-x+1/2,z'
'-y,x+1/2,-z'
'x+1/2,-y,-z'
'-x+1/2,y,z'
'-y,-x,-z'
'y,x,z'
'-x,y+1/2,-z'
'x,-y+1/2,z'
'y+1/2,x+1/2,-z'
'-y+1/2,-x+1/2,z'
loop_
_atom_site_label
_atom_site_type_symbol
_atom_site_fract_x
_atom_site_fract_y
_atom_site_fract_z
_atom_site_occupancy
Pa1 Pa 0.2500 0.2500 0.1408 1
Ga1 Ga 0.2500 0.2500 0.6722 1
Cu1 Cu 0.2500 0.7500 0.5000 1
N1 N 0.2500 0.7500 0.0000 1
```

***

The following is a DFT calculation (PBE) of an optimized crystal structure of GaCu2PtN.

Calculated values
formation energy (no corrections): 5.7 kcal/mol of atoms
DOS(E_F): 0.266 states/eV per atom
uncorrected energy: -4.87 eV/atom
density: 9.85 g/cm3

```
data_GaCu2PtN
_chemical_formula_sum 'Ga1 Cu2 Pt1 N1'
_symmetry_space_group_name_H-M 'P 4/m m m'
_symmetry_Int_Tables_number 123
_symmetry_space_group_name_Hall '-P 4 2'
_cell_length_a 3.7406
_cell_length_b 3.7406
_cell_length_c 4.8887
_cell_angle_alpha 90.00
_cell_angle_beta 90.00
_cell_angle_gamma 90.00
loop_
_atom_site_label
_atom_site_type_symbol
_atom_site_fract_x
_atom_site_fract_y
_atom_site_fract_z
_atom_site_occupancy
Ga1 Ga 0.0000 0.0000 0.0000 1
Cu1 Cu 0.0000 0.5000 0.5000 1
Pt1 Pt 0.5000 0.5000 0.0000 1
N1 N 0.5000 0.5000 0.5000 1
```

***

The following is a DFT calculation (PBE) of an optimized crystal structure of GaCuSN2.

Calculated values
formation energy (no corrections): 30.1 kcal/mol of atoms
DOS(E_F): 0.690 states/eV per atom
polymorph energy (0 for the lowest one): 6 meV/atom
uncorrected energy: -4.27 eV/atom
density: 4.24 g/cm3

```
data_GaCuSN2
_chemical_formula_sum 'Ga1 Cu1 S1 N2'
_symmetry_space_group_name_H-M 'P 4/m m m'
_symmetry_Int_Tables_number 123
_symmetry_space_group_name_Hall '-P 4 2'
_cell_length_a 3.7702
_cell_length_b 3.7702
_cell_length_c 5.3278
_cell_angle_alpha 90.00
_cell_angle_beta 90.00
_cell_angle_gamma 90.00
loop_
_atom_site_label
_atom_site_type_symbol
_atom_site_fract_x
_atom_site_fract_y
_atom_site_fract_z
_atom_site_occupancy
Ga1 Ga 0.0000 0.0000 0.0000 1
Cu1 Cu 0.5000 0.5000 0.5000 1
S1 S 0.0000 0.0000 0.5000 1
N1 N 0.0000 0.5000 0.0000 1
```

***

The following is a DFT calculation (PBE) of an optimized crystal structure of GaCuS2N.

Calculated values
formation energy (no corrections): 22.9 kcal/mol of atoms
DOS(E_F): 1.090 states/eV per atom
polymorph energy (0 for the lowest one): 175 meV/atom
uncorrected energy: -3.75 eV/atom
density: 4.10 g/cm3

```
data_GaCuS2N
_chemical_formula_sum 'Ga1 Cu1 S2 N1'
_symmetry_space_group_name_H-M 'P 4/m m m'
_symmetry_Int_Tables_number 123
_symmetry_space_group_name_Hall '-P 4 2'
_cell_length_a 4.8515
_cell_length_b 4.8515
_cell_length_c 3.6364
_cell_angle_alpha 90.00
_cell_angle_beta 90.00
_cell_angle_gamma 90.00
loop_
_atom_site_label
_atom_site_type_symbol
_atom_site_fract_x
_atom_site_fract_y
_atom_site_fract_z
_atom_site_occupancy
Ga1 Ga 0.0000 0.0000 0.0000 1
Cu1 Cu 0.5000 0.5000 0.5000 1
S1 S 0.0000 0.5000 0.0000 1
N1 N 0.0000 0.0000 0.5000 1
```

***

The following is a DFT calculation (PBE) of an optimized crystal structure of GaCuS2N.

Calculated values
formation energy (no corrections): 18.9 kcal/mol of atoms
DOS(E_F): 0.741 states/eV per atom
polymorph energy (0 for the lowest one): 0 meV/atom
uncorrected energy: -3.92 eV/atom
density: 4.32 g/cm3

```
data_GaCuS2N
_chemical_formula_sum 'Ga1 Cu1 S2 N1'
_symmetry_space_group_name_H-M 'P 4/m m m'
_symmetry_Int_Tables_number 123
_symmetry_space_group_name_Hall '-P 4 2'
_cell_length_a 4.7708
_cell_length_b 4.7708
_cell_length_c 3.5711
_cell_angle_alpha 90.00
_cell_angle_beta 90.00
_cell_angle_gamma 90.00
loop_
_atom_site_label
_atom_site_type_symbol
_atom_site_fract_x
_atom_site_fract_y
_atom_site_fract_z
_atom_site_occupancy
Ga1 Ga 0.0000 0.0000 0.0000 1
Cu1 Cu 0.5000 0.5000 0.5000 1
S1 S 0.0000 0.5000 0.5000 1
N1 N 0.5000 0.5000 0.0000 1
```

***

The following is a DFT calculation (PBE) of an optimized crystal structure of GaCuSN2.

Calculated values
formation energy (no corrections): 30.0 kcal/mol of atoms
DOS(E_F): 0.466 states/eV per atom
polymorph energy (0 for the lowest one): 0 meV/atom
uncorrected energy: -4.28 eV/atom
density: 4.12 g/cm3

```
data_GaCuSN2
_chemical_formula_sum 'Ga1 Cu1 S1 N2'
_symmetry_space_group_name_H-M 'P 4/m m m'
_symmetry_Int_Tables_number 123
_symmetry_space_group_name_Hall '-P 4 2'
_cell_length_a 3.6481
_cell_length_b 3.6481
_cell_length_c 5.8532
_cell_angle_alpha 90.00
_cell_angle_beta 90.00
_cell_angle_gamma 90.00
loop_
_atom_site_label
_atom_site_type_symbol
_atom_site_fract_x
_atom_site_fract_y
_atom_site_fract_z
_atom_site_occupancy
Ga1 Ga 0.0000 0.0000 0.0000 1
Cu1 Cu 0.5000 0.5000 0.5000 1
S1 S 0.5000 0.5000 0.0000 1
N1 N 0.0000 0.5000 0.5000 1
```

***

The following is a DFT calculation (PBE) of an optimized crystal structure of GaCuSb2N.

Calculated values
formation energy (no corrections): 9.2 kcal/mol of atoms
DOS(E_F): 0.316 states/eV per atom
uncorrected energy: -4.34 eV/atom
density: 6.94 g/cm3

```
data_GaCuSb2N
_chemical_formula_sum 'Ga1 Cu1 Sb2 N1'
_symmetry_space_group_name_H-M 'P 4/m m m'
_symmetry_Int_Tables_number 123
_symmetry_space_group_name_Hall '-P 4 2'
_cell_length_a 5.0271
_cell_length_b 5.0271
_cell_length_c 3.6983
_cell_angle_alpha 90.00
_cell_angle_beta 90.00
_cell_angle_gamma 90.00
loop_
_atom_site_label
_atom_site_type_symbol
_atom_site_fract_x
_atom_site_fract_y
_atom_site_fract_z
_atom_site_occupancy
Ga1 Ga 0.0000 0.0000 0.0000 1
Cu1 Cu 0.5000 0.5000 0.0000 1
Sb1 Sb 0.0000 0.5000 0.5000 1
N1 N 0.5000 0.5000 0.5000 1
```